# 1
Computed, not measured: a relaxed structure of RbSr2I2 at the GGA-PBE level of DFT.

Cell: 5.921 5.921 15.297 Å, 90.00 90.00 90.00°
Space group I4/mmm (No. 139)
Symmetry-distinct sites (fractional):
Rb  0.000  0.000  0.000
Sr  0.000  0.000  0.367
I  0.000  0.500  0.250

Computed properties:
Crystal system = tetragonal
Offset from the most stable computed form = 0.00 eV/f.u.
M_tot = 0.000 Bohr magnetons per cell
Formation energy without anion corrections = -0.889 eV per atom
Total DFT energy (no corrections) = -23.75 eV per cell

=====

# 2
Computed, not measured: a relaxed structure of Ga2AgH2 at the GGA-PBE level of DFT.

Cell: 6.817 6.817 2.747 Å, 90.00 90.00 90.00°
Space group P4/mbm (No. 127)
Symmetry-distinct sites (fractional):
Ga  0.141  0.359  0.000
Ag  0.000  0.000  0.500
H  0.108  0.608  0.500

Computed properties:
Crystal system = tetragonal
Offset from the most stable computed form = 0.68 eV/f.u.
M_tot = 0.000 Bohr magnetons per cell
Total DFT energy (no corrections) = -26.99 eV per cell

=====

# 3
Computed, not measured: a relaxed structure of HfInTcO6 at the GGA-PBE level of DFT.

Cell: 5.2819 5.2819 9.2975 Å, 90.00 90.00 120.00°
Space group P-31c (No. 163)
Symmetry-distinct sites (fractional):
Hf  0.3333  0.6667  0.2500
In  0.0000  0.0000  0.0000
Tc  0.3333  0.6667  0.7500
O  0.0140  0.3567  0.6332

Computed properties:
Crystal system = trigonal
M_tot = 4.006 Bohr magnetons per cell
Formation energy without anion corrections = -2.036 eV per atom
Total DFT energy (no corrections) = -142.27 eV per cell

=====

# 4
Computed, not measured: a relaxed structure of NaHfAs2Se at the GGA-PBE level of DFT.

Cell: 5.191 5.191 5.232 Å, 90.00 90.00 90.00°
Space group P4/mmm (No. 123)
Symmetry-distinct sites (fractional):
Na  0.000  0.000  0.000
Hf  0.500  0.500  0.500
As  0.000  0.500  0.500
Se  0.500  0.500  0.000

Computed properties:
Crystal system = tetragonal
Offset from the most stable computed form = 0.00 eV/f.u.
M_tot = 0.000 Bohr magnetons per cell
Formation energy without anion corrections = -0.353 eV per atom
Total DFT energy (no corrections) = -25.82 eV per cell